Entry 1:
{"formula": "PAuCCl2", "functional": "PBE-GGA", "state": "optimized geometry", "lattice_angstrom": [[5.138, 0.000, 0.000], [0.000, 5.138, 0.000], [0.000, 0.000, 4.681]], "species": ["P", "Au", "C", "Cl", "Cl"], "fractional_positions": [[0.000, 0.000, 0.000], [0.000, 0.000, 0.500], [0.500, 0.500, 0.000], [0.000, 0.500, 0.500], [0.500, 0.000, 0.500]], "e_form_raw_ev_per_atom": 1.806}

***

Entry 2:
{"formula": "CoN", "functional": "PBE-GGA", "state": "optimized geometry", "lattice_angstrom": [[5.091, 0.000, 0.000], [0.000, 5.440, 0.000], [0.000, 0.000, 6.285]], "species": ["Co", "Co", "Co", "Co", "Co", "Co", "Co", "Co", "N", "N", "N", "N", "N", "N", "N", "N"], "fractional_positions": [[0.131, 0.070, 0.241], [0.156, 0.595, 0.955], [0.344, 0.405, 0.455], [0.369, 0.930, 0.741], [0.631, 0.430, 0.759], [0.656, 0.905, 0.045], [0.844, 0.095, 0.545], [0.869, 0.570, 0.259], [0.181, 0.405, 0.195], [0.207, 0.102, 0.536], [0.293, 0.898, 0.036], [0.319, 0.595, 0.695], [0.681, 0.095, 0.805], [0.707, 0.398, 0.464], [0.793, 0.602, 0.964], [0.819, 0.905, 0.305]], "e_form_raw_ev_per_atom": 0.277}

***

Entry 3:
{"formula": "LiCa2As3Pt4", "functional": "PBE-GGA", "state": "optimized geometry", "lattice_angstrom": [[4.313, 0.000, 0.000], [0.000, 4.313, 0.000], [0.000, 0.000, 10.239]], "species": ["Li", "Ca", "Ca", "As", "As", "As", "Pt", "Pt", "Pt", "Pt"], "fractional_positions": [[0.000, 0.000, 0.000], [0.000, 0.500, 0.749], [0.500, 0.000, 0.251], [0.000, 0.500, 0.365], [0.500, 0.000, 0.635], [0.500, 0.500, 0.000], [0.000, 0.000, 0.500], [0.000, 0.500, 0.129], [0.500, 0.000, 0.871], [0.500, 0.500, 0.500]], "formation_energy_ev_per_atom": -0.793}

***

Entry 4:
{"formula": "Tb8Tm2Sc3", "functional": "PBE-GGA", "state": "optimized geometry", "lattice_angstrom": [[3.774, -9.692, 0.000], [3.774, 9.692, 0.000], [0.000, 0.000, 5.508]], "species": ["Tb", "Tb", "Tb", "Tb", "Tb", "Tb", "Tb", "Tb", "Tm", "Tm", "Sc", "Sc", "Sc"], "fractional_positions": [[0.126, 0.874, 0.000], [0.190, 0.394, 0.500], [0.332, 0.668, 0.000], [0.394, 0.190, 0.500], [0.606, 0.810, 0.500], [0.668, 0.332, 0.000], [0.810, 0.606, 0.500], [0.874, 0.126, 0.000], [0.239, 0.761, 0.500], [0.761, 0.239, 0.500], [0.000, 0.000, 0.500], [0.294, 0.294, 0.000], [0.706, 0.706, 0.000]], "formation_energy_ev_per_atom": 0.218}

***

Entry 5:
{"formula": "Na2PIrN", "functional": "PBE-GGA", "state": "optimized geometry", "lattice_angstrom": [[4.672, 0.000, 0.000], [0.000, 4.672, 0.000], [0.000, 0.000, 3.765]], "species": ["Na", "Na", "P", "Ir", "N"], "fractional_positions": [[0.000, 0.500, 0.000], [0.500, 0.000, 0.000], [0.000, 0.000, 0.500], [0.500, 0.500, 0.500], [0.500, 0.500, 0.000]], "e_form_raw_ev_per_atom": 0.160}

***

Entry 6:
{"formula": "ScSiNiRu", "functional": "PBE-GGA", "state": "optimized geometry", "lattice_angstrom": [[0.000, 3.024, 3.024], [3.024, 0.000, 3.024], [3.024, 3.024, 0.000]], "species": ["Sc", "Si", "Ni", "Ru"], "fractional_positions": [[0.000, 0.000, 0.000], [0.500, 0.500, 0.500], [0.750, 0.750, 0.750], [0.250, 0.250, 0.250]], "e_form_raw_ev_per_atom": -0.603}

***

Entry 7:
{"formula": "Ca2PbW", "functional": "PBE-GGA", "state": "optimized geometry", "lattice_angstrom": [[0.000, 3.702, 3.702], [3.702, 0.000, 3.702], [3.702, 3.702, 0.000]], "species": ["Ca", "Ca", "Pb", "W"], "fractional_positions": [[0.000, 0.000, 0.000], [0.250, 0.250, 0.250], [0.750, 0.750, 0.750], [0.500, 0.500, 0.500]], "formation_energy_ev_per_atom": 0.657}

***

Entry 8:
{"formula": "Ac2TmP3Rh12", "functional": "PBE-GGA", "state": "optimized geometry", "lattice_angstrom": [[4.302, 2.484, 5.215], [-4.302, 2.484, 5.215], [0.000, -4.967, 5.215]], "species": ["Ac", "Ac", "Tm", "P", "P", "P", "Rh", "Rh", "Rh", "Rh", "Rh", "Rh", "Rh", "Rh", "Rh", "Rh", "Rh", "Rh"], "fractional_positions": [[0.108, 0.108, 0.108], [0.892, 0.892, 0.892], [0.500, 0.500, 0.500], [0.000, 0.500, 0.500], [0.500, 0.000, 0.500], [0.500, 0.500, 0.000], [0.126, 0.647, 0.647], [0.178, 0.178, 0.591], [0.178, 0.591, 0.178], [0.353, 0.353, 0.874], [0.353, 0.874, 0.353], [0.409, 0.822, 0.822], [0.591, 0.178, 0.178], [0.647, 0.126, 0.647], [0.647, 0.647, 0.126], [0.822, 0.409, 0.822], [0.822, 0.822, 0.409], [0.874, 0.353, 0.353]], "formation_energy_ev_per_atom": -0.316}